A plane-wave DFT calculation with GGA-PBE was carried out for a relaxed structure of AsOs.

## Properties
Electronic total energy ... -60.3 eV for the cell shown

Lattice parameters (Å, degrees): 7.792 7.792 7.792 92.12 92.12 157.84
Positions (direct):
As (0.075, 0.280, 0.355)
As (0.280, 0.925, 0.205)
As (0.720, 0.075, 0.795)
As (0.925, 0.720, 0.645)
Os (0.146, 0.734, 0.879)
Os (0.266, 0.146, 0.412)
Os (0.734, 0.854, 0.588)
Os (0.854, 0.266, 0.121)

***

A plane-wave DFT calculation with GGA-PBE was carried out for a relaxed structure of Pu7AgRh4.

## Properties
Electronic total energy ... -133.8 eV for the cell shown

Lattice parameters (Å, degrees): 6.461 6.461 9.065 108.15 108.15 49.69
Positions (direct):
Pu (0.000, 0.000, 0.000)
Pu (0.226, 0.226, 0.903)
Pu (0.246, 0.246, 0.590)
Pu (0.454, 0.454, 0.315)
Pu (0.546, 0.546, 0.685)
Pu (0.754, 0.754, 0.410)
Pu (0.774, 0.774, 0.097)
Ag (0.500, 0.500, 0.000)
Rh (0.006, 0.006, 0.351)
Rh (0.210, 0.210, 0.242)
Rh (0.790, 0.790, 0.758)
Rh (0.994, 0.994, 0.649)

***

A plane-wave DFT calculation with GGA-PBE was carried out for a relaxed structure of PmTlAg.

## Properties
Electronic total energy ... -10.6 eV for the cell shown

Lattice parameters (Å, degrees): 4.916 4.916 4.916 60.00 60.00 60.00
Positions (direct):
Pm (0.000, 0.000, 0.000)
Tl (0.500, 0.500, 0.500)
Ag (0.250, 0.250, 0.250)

***

A plane-wave DFT calculation with GGA-PBE was carried out for a relaxed structure of Ce5RuN8.

## Properties
Electronic total energy ... -117.7 eV for the cell shown

Lattice parameters (Å, degrees): 6.405 6.405 6.405 109.79 109.79 108.83
Positions (direct):
Ce (0.000, 0.000, 0.000)
Ce (0.126, 0.225, 0.591)
Ce (0.465, 0.874, 0.099)
Ce (0.634, 0.535, 0.409)
Ce (0.775, 0.366, 0.901)
Ru (0.250, 0.750, 0.500)
N (0.264, 0.539, 0.184)
N (0.355, 0.080, 0.816)
N (0.382, 0.162, 0.357)
N (0.461, 0.645, 0.725)
N (0.805, 0.026, 0.643)
N (0.838, 0.195, 0.221)
N (0.920, 0.736, 0.275)
N (0.974, 0.618, 0.779)

***

A plane-wave DFT calculation with GGA-PBE was carried out for a relaxed structure of K2GaSnS5.

## Properties
Electronic total energy ... -72.5 eV for the cell shown

Lattice parameters (Å, degrees): 10.152 10.152 13.629 90.00 90.00 159.62
Positions (direct):
K (0.102, 0.898, 0.500)
K (0.120, 0.880, 0.123)
K (0.880, 0.120, 0.623)
K (0.898, 0.102, 0.000)
Ga (0.432, 0.568, 0.293)
Ga (0.568, 0.432, 0.793)
Sn (0.229, 0.771, 0.864)
Sn (0.771, 0.229, 0.364)
S (0.053, 0.947, 0.894)
S (0.272, 0.728, 0.494)
S (0.317, 0.683, 0.245)
S (0.346, 0.654, 0.816)
S (0.486, 0.514, 0.147)
S (0.514, 0.486, 0.647)
S (0.654, 0.346, 0.316)
S (0.683, 0.317, 0.745)
S (0.728, 0.272, 0.994)
S (0.947, 0.053, 0.394)

***

A plane-wave DFT calculation with GGA-PBE was carried out for a relaxed structure of GdNiB.

## Properties
Electronic total energy ... -27.5 eV for the cell shown

Lattice parameters (Å, degrees): 3.645 3.645 3.957 90.00 90.00 120.00
Positions (direct):
Gd (0.000, 0.000, 0.000)
Ni (0.333, 0.667, 0.500)
B (0.667, 0.333, 0.500)